Computed, not measured: TlB3Ir after structural relaxation at the PBE level of DFT.

Values from the calculation:
Symmetry = Pm-3m (221)
E_form = 0.910 eV per atom
Relative energy among the computed polymorphs = 0 meV/atom
Magnetic moment = 0.00 μB/f.u.

Lattice parameters (Å, degrees): 4.235 4.235 4.235 90.00 90.00 90.00
Fractional coordinates of all 5 atoms:
Tl  0.000  0.000  0.000
B  0.000  0.500  0.500
B  0.500  0.000  0.500
B  0.500  0.500  0.000
Ir  0.500  0.500  0.500



Computed, not measured: TaFeSe2 after structural relaxation at the PBE level of DFT.

Values from the calculation:
Symmetry = Imm2 (44)
Uncorrected formation energy = -0.23 eV/atom
Relative energy among the computed polymorphs = 294 meV/atom
Magnetic moment = 2.05 μB/f.u.

Lattice parameters (Å, degrees): 3.325 3.560 12.997 90.00 90.00 90.00
Fractional coordinates of all 8 atoms:
Ta  0.000  0.000  0.000
Ta  0.500  0.500  0.500
Fe  0.000  0.500  0.343
Fe  0.500  0.000  0.843
Se  0.000  0.000  0.597
Se  0.000  0.500  0.847
Se  0.500  0.000  0.347
Se  0.500  0.500  0.097



Computed, not measured: HoZrPd4 after structural relaxation at the PBE level of DFT.

Values from the calculation:
Symmetry = P4/mmm (123)
E_form = -0.504 eV per atom
Relative energy among the computed polymorphs = 282 meV/atom
Magnetic moment = 0.00 μB/f.u.

Lattice parameters (Å, degrees): 3.917 3.917 8.166 90.00 90.00 90.00
Fractional coordinates of all 6 atoms:
Ho  0.000  0.000  0.000
Zr  0.500  0.500  0.500
Pd  0.000  0.500  0.263
Pd  0.000  0.500  0.737
Pd  0.500  0.000  0.263
Pd  0.500  0.000  0.737



Computed, not measured: LaMgAl2 after structural relaxation at the PBE level of DFT.

Values from the calculation:
Symmetry = P4mm (99)
E_form = -0.132 eV per atom
Magnetic moment = 0.00 μB/f.u.

Lattice parameters (Å, degrees): 3.449 3.449 7.870 90.00 90.00 90.00
Fractional coordinates of all 4 atoms:
La  0.000  0.000  0.000
Mg  0.500  0.500  0.328
Al  0.000  0.000  0.548
Al  0.500  0.500  0.724



Computed, not measured: BaMgCd2 after structural relaxation at the PBE level of DFT.

Values from the calculation:
Symmetry = P4mm (99)
E_form = -0.106 eV per atom
Magnetic moment = 0.00 μB/f.u.

Lattice parameters (Å, degrees): 4.001 4.001 7.718 90.00 90.00 90.00
Fractional coordinates of all 4 atoms:
Ba  0.000  0.000  0.000
Mg  0.500  0.500  0.674
Cd  0.000  0.000  0.503
Cd  0.500  0.500  0.289



Computed, not measured: MgGeRh2 after structural relaxation at the PBE level of DFT.

Values from the calculation:
Symmetry = P4/mmm (123)
E_form = -0.611 eV per atom
Relative energy among the computed polymorphs = 18 meV/atom
Magnetic moment = 0.00 μB/f.u.

Lattice parameters (Å, degrees): 4.271 4.271 3.141 90.00 90.00 90.00
Fractional coordinates of all 4 atoms:
Mg  0.000  0.000  0.000
Ge  0.500  0.500  0.000
Rh  0.000  0.500  0.500
Rh  0.500  0.000  0.500